[1]
Here is a geometry-optimized Pm2HRh structure from Alexandria. Energies are from PBE.

a = 3.806 Å, b = 7.047 Å, c = 7.257 Å
α = 112.65°, β = 105.20°, γ = 90.00°
Element x y z (fractional)
H: 0.219 0.175 0.012
H: 0.442 0.384 0.459
Pm: 0.046 0.528 0.667
Pm: 0.345 0.036 0.264
Pm: 0.615 0.031 0.804
Pm: 0.316 0.524 0.207
Rh: 0.713 0.717 0.001
Rh: 0.947 0.842 0.470

Properties
The value obtained for the density of states at the Fermi level is 5.36 states/eV/cell. The value obtained for the energy relative to the lowest polymorph listed for this composition is 0.0000 eV per atom. The space-group type is C2/m (12).

[2]
Here is a geometry-optimized Zn2Cd2Ga structure from Alexandria. Energies are from PBE.

a = 8.416 Å, b = 8.416 Å, c = 2.830 Å
α = 90.00°, β = 90.00°, γ = 90.00°
Element x y z (fractional)
Cd: 0.825 0.675 0.000
Cd: 0.175 0.325 0.000
Cd: 0.675 0.175 0.000
Cd: 0.325 0.825 0.000
Ga: 0.500 0.500 0.000
Ga: 0.000 0.000 0.000
Zn: 0.122 0.622 0.500
Zn: 0.378 0.122 0.500
Zn: 0.878 0.378 0.500
Zn: 0.622 0.878 0.500

Properties
The value obtained for the density of states at the Fermi level is 3.31 states/eV/cell. The value obtained for the energy relative to the lowest polymorph listed for this composition is 0.0134 eV per atom. The space-group type is P4/mbm (127). For the energy relative to the elements, the calculation gives 0.1123 eV per atom.

[3]
Here is a geometry-optimized ReP2CS structure from Alexandria. Energies are from PBE.

a = 4.670 Å, b = 4.670 Å, c = 4.504 Å
α = 90.00°, β = 90.00°, γ = 90.00°
Element x y z (fractional)
P: 0.000 0.500 0.000
P: 0.500 0.000 0.000
C: 0.500 0.500 0.500
Re: 0.000 0.000 0.000
S: 0.000 0.000 0.500

Properties
The calculation puts the uncorrected formation energy at 1791 meV/atom. The value obtained for the density of states at the Fermi level is 3.24 states/eV/cell. The value obtained for the energy relative to the lowest polymorph listed for this composition is 0.5227 eV per atom. The space-group type is P4/mmm (123).

[4]
Here is a geometry-optimized BaIrPb structure from Alexandria. Energies are from PBE.

a = 5.061 Å, b = 5.061 Å, c = 5.061 Å
α = 60.00°, β = 60.00°, γ = 60.00°
Element x y z (fractional)
Ba: 0.500 0.500 0.500
Pb: 0.000 0.000 0.000
Ir: 0.750 0.750 0.750

Properties
The value obtained for the density of states at the Fermi level is 1.31 states/eV/cell. The space-group type is F-43m (216). For the energy relative to the elements, the calculation gives 0.0483 eV per atom.

[5]
Here is a geometry-optimized NaCeN2 structure from Alexandria. Energies are from PBE.

a = 3.562 Å, b = 3.562 Å, c = 6.360 Å
α = 73.74°, β = 73.74°, γ = 60.00°
Element x y z (fractional)
N: 0.066 0.066 0.803
N: 0.273 0.273 0.182
Ce: 0.669 0.669 0.994
Na: 0.493 0.493 0.521

Properties
The calculation puts the uncorrected formation energy at -516 meV/atom. The value obtained for the density of states at the Fermi level is 3.78 states/eV/cell. The value obtained for the energy relative to the lowest polymorph listed for this composition is 0.0689 eV per atom. The space-group type is R3m (160).

[6]
Here is a geometry-optimized Pm3Pr structure from Alexandria. Energies are from PBE.

a = 3.690 Å, b = 6.402 Å, c = 7.003 Å
α = 117.20°, β = 105.27°, γ = 90.00°
Element x y z (fractional)
Pm: 0.249 0.581 0.499
Pm: 0.751 0.082 0.501
Pm: 0.500 0.502 0.000
Pr: 0.000 0.001 0.000

Properties
The value obtained for the density of states at the Fermi level is 6.96 states/eV/cell. The value obtained for the energy relative to the lowest polymorph listed for this composition is 0.0181 eV per atom. The space-group type is Imm2 (44). For the energy relative to the elements, the calculation gives 0.0309 eV per atom.

[7]
Here is a geometry-optimized Ta2FeSb structure from Alexandria. Energies are from PBE.

a = 8.820 Å, b = 8.820 Å, c = 8.820 Å
α = 20.30°, β = 20.30°, γ = 20.30°
Element x y z (fractional)
Ta: 0.997 0.997 0.997
Ta: 0.241 0.241 0.241
Fe: 0.505 0.505 0.505
Sb: 0.756 0.756 0.756

Properties
The calculation puts the uncorrected formation energy at 291 meV/atom. The value obtained for the density of states at the Fermi level is 4.60 states/eV/cell. The space-group type is R3m (160).

[8]
Here is a geometry-optimized Sc7PI12 structure from Alexandria. Energies are from PBE.

a = 9.362 Å, b = 9.362 Å, c = 9.362 Å
α = 108.01°, β = 108.01°, γ = 108.01°
Element x y z (fractional)
I: 0.692 0.223 0.077
I: 0.223 0.077 0.692
I: 0.155 0.384 0.460
I: 0.308 0.777 0.923
I: 0.540 0.845 0.616
I: 0.923 0.308 0.777
I: 0.384 0.460 0.155
I: 0.077 0.692 0.223
I: 0.460 0.155 0.384
I: 0.777 0.923 0.308
I: 0.616 0.540 0.845
I: 0.845 0.616 0.540
Sc: 0.030 0.292 0.096
Sc: 0.708 0.904 0.970
Sc: 0.500 0.500 0.500
Sc: 0.904 0.970 0.708
Sc: 0.292 0.096 0.030
Sc: 0.096 0.030 0.292
Sc: 0.970 0.708 0.904
P: 0.000 0.000 0.000

Properties
The calculation puts the uncorrected formation energy at -1209 meV/atom. The value obtained for the density of states at the Fermi level is 10.83 states/eV/cell. The space-group type is R-3 (148).

[9]
Here is a geometry-optimized Ho2MgSc structure from Alexandria. Energies are from PBE.

a = 5.357 Å, b = 5.357 Å, c = 5.357 Å
α = 60.00°, β = 60.00°, γ = 60.00°
Element x y z (fractional)
Ho: 0.750 0.750 0.750
Ho: 0.250 0.250 0.250
Mg: 0.000 0.000 0.000
Sc: 0.500 0.500 0.500

Properties
The value obtained for the density of states at the Fermi level is 4.05 states/eV/cell. The value obtained for the energy relative to the lowest polymorph listed for this composition is 0.0433 eV per atom. The space-group type is Fm-3m (225). For the energy relative to the elements, the calculation gives 0.0301 eV per atom.

[10]
Here is a geometry-optimized CsSn3Ge structure from Alexandria. Energies are from PBE.

a = 6.154 Å, b = 6.154 Å, c = 6.154 Å
α = 90.00°, β = 90.00°, γ = 90.00°
Element x y z (fractional)
Ge: 0.500 0.500 0.500
Sn: 0.000 0.000 0.500
Sn: 0.000 0.500 0.000
Sn: 0.500 0.000 0.000
Cs: 0.000 0.000 0.000

Properties
The value obtained for the density of states at the Fermi level is 6.22 states/eV/cell. The value obtained for the energy relative to the lowest polymorph listed for this composition is 1.7328 eV per atom. The space-group type is Pm-3m (221). For the energy relative to the elements, the calculation gives 1.6206 eV per atom.

[11]
Here is a geometry-optimized HfNbCr structure from Alexandria. Energies are from PBE.

a = 5.634 Å, b = 5.100 Å, c = 9.103 Å
α = 90.00°, β = 126.72°, γ = 90.00°
Element x y z (fractional)
Hf: 0.890 0.500 0.364
Hf: 0.755 0.500 0.983
Hf: 0.755 0.000 0.483
Hf: 0.890 0.000 0.864
Cr: 0.388 0.246 0.611
Cr: 0.388 0.254 0.111
Cr: 0.388 0.754 0.611
Cr: 0.388 0.746 0.111
Nb: 0.387 0.000 0.862
Nb: 0.387 0.500 0.362
Nb: 0.022 0.500 0.744
Nb: 0.022 0.000 0.244

Properties
The value obtained for the density of states at the Fermi level is 14.09 states/eV/cell. The value obtained for the energy relative to the lowest polymorph listed for this composition is 0.1021 eV per atom. The space-group type is Cm (8). For the energy relative to the elements, the calculation gives 0.1093 eV per atom.

[12]
Here is a geometry-optimized SrSbPb2Au2 structure from Alexandria. Energies are from PBE.

a = 5.733 Å, b = 5.733 Å, c = 7.246 Å
α = 113.30°, β = 113.30°, γ = 90.00°
Element x y z (fractional)
Au: 0.233 0.233 0.466
Au: 0.767 0.767 0.534
Pb: 0.250 0.750 0.500
Pb: 0.750 0.250 0.500
Sr: 0.500 0.500 0.000
Sb: 0.000 0.000 0.000

Properties
The calculation puts the uncorrected formation energy at -149 meV/atom. The value obtained for the density of states at the Fermi level is 2.57 states/eV/cell. The space-group type is I4/mmm (139).